VASP calculation (PBE-GGA) on a geometry-optimized BaFe2Pb structure. Values from VASP.

Formation energy from the elements, eV/atom: 0.323
Distance to the lowest polymorph of the same formula, eV/atom: 0.093
Space-group type: No. 166
Spin magnetization, μB per cell: 3.98

The structure in Quantum ESPRESSO input format:
```
&SYSTEM
  ibrav = 0, nat = 4, ntyp = 3
/
ATOMIC_SPECIES
Fe 55.84 Fe.upf
Ba 137.33 Ba.upf
Pb 207.20 Pb.upf
CELL_PARAMETERS angstrom
6.212 -0.901 -0.539
5.172 3.557 -0.539
5.172 1.206 3.389
ATOMIC_POSITIONS angstrom
Fe 15.399 3.592 2.149
Fe 9.433 2.200 1.316
Ba 12.416 2.896 1.733
Pb 4.139 0.965 0.578
```

---

VASP calculation (PBE-GGA) on a geometry-optimized Tb2Ho3Ga4 structure. Values from VASP.

Formation energy from the elements, eV/atom: -0.497
Distance to the lowest polymorph of the same formula, eV/atom: 0.081
Space-group type: No. 164
Spin magnetization, μB per cell: 0.00

The structure in Quantum ESPRESSO input format:
```
&SYSTEM
  ibrav = 0, nat = 9, ntyp = 3
/
ATOMIC_SPECIES
Ho 164.93 Ho.upf
Ga 69.72 Ga.upf
Tb 158.93 Tb.upf
CELL_PARAMETERS angstrom
-4.331 -0.251 2.533
4.358 -0.702 2.401
0.529 9.632 1.859
ATOMIC_POSITIONS angstrom
Ho 1.770 5.070 3.530
Ho -1.215 3.609 3.263
Ho 0.000 0.000 0.000
Ga -1.381 0.565 2.677
Ga 1.937 8.114 4.116
Ga 0.188 3.412 0.659
Ga 0.368 5.267 6.134
Tb 1.577 1.525 2.847
Tb -1.021 7.154 3.946
```

---

VASP calculation (PBE-GGA) on a geometry-optimized Ho2Zr3Sn4 structure. Values from VASP.

Formation energy from the elements, eV/atom: -0.664
Space-group type: No. 14
Spin magnetization, μB per cell: 0.00

The structure in Quantum ESPRESSO input format:
```
&SYSTEM
  ibrav = 0, nat = 18, ntyp = 3
/
ATOMIC_SPECIES
Sn 118.71 Sn.upf
Zr 91.22 Zr.upf
Ho 164.93 Ho.upf
CELL_PARAMETERS angstrom
7.673 -0.128 0.000
-2.643 7.420 0.000
0.000 0.000 7.856
ATOMIC_POSITIONS angstrom
Sn 3.553 3.756 5.001
Sn 2.577 6.722 0.269
Sn 6.290 0.505 4.197
Sn -1.259 6.787 3.659
Sn 1.478 3.535 2.855
Sn 2.453 0.569 7.586
Sn 5.315 3.471 1.073
Sn -0.284 3.820 6.783
Zr -0.021 5.507 1.384
Zr 1.215 1.849 5.312
Zr 3.815 5.442 2.544
Zr -1.321 3.710 3.928
Zr 2.515 3.646 0.000
Zr 5.052 1.785 6.472
Ho -0.054 1.369 1.329
Ho 5.085 5.923 6.527
Ho 3.782 1.305 2.599
Ho 1.248 5.987 5.256
```

---

VASP calculation (PBE-GGA) on a geometry-optimized Na3ZnS structure. Values from VASP.

E_form (uncorrected), eV per atom: -0.3931
Distance to the lowest polymorph of the same formula, eV/atom: 0.000
Space-group type: No. 221
Spin magnetization, μB per cell: 0.60

The structure in Quantum ESPRESSO input format:
```
&SYSTEM
  ibrav = 0, nat = 5, ntyp = 3
/
ATOMIC_SPECIES
Na 22.99 Na.upf
Zn 65.41 Zn.upf
S 32.06 S.upf
CELL_PARAMETERS angstrom
5.352 0.000 0.000
0.000 5.352 0.000
0.000 0.000 5.352
ATOMIC_POSITIONS angstrom
Na 0.000 0.000 2.676
Na 0.000 2.676 0.000
Na 2.676 0.000 0.000
Zn 2.676 2.676 2.676
S 0.000 0.000 0.000
```

---

VASP calculation (PBE-GGA) on a geometry-optimized ZnIrAu2 structure. Values from VASP.

Formation energy from the elements, eV/atom: 0.148
Space-group type: No. 71
Spin magnetization, μB per cell: 0.30

The structure in Quantum ESPRESSO input format:
```
&SYSTEM
  ibrav = 0, nat = 4, ntyp = 3
/
ATOMIC_SPECIES
Zn 65.41 Zn.upf
Ir 192.22 Ir.upf
Au 196.97 Au.upf
CELL_PARAMETERS angstrom
5.431 0.013 0.020
2.618 4.758 -0.020
-3.451 -3.353 2.518
ATOMIC_POSITIONS angstrom
Zn 1.596 1.895 1.249
Ir 3.002 -0.477 1.269
Au 3.941 2.336 0.000
Au 0.084 0.050 0.000
```

---

VASP calculation (PBE-GGA) on a geometry-optimized ZrBrO structure. Values from VASP.

E_form (uncorrected), eV per atom: -2.1964
Space-group type: No. 166
Spin magnetization, μB per cell: 0.00

The structure in Quantum ESPRESSO input format:
```
&SYSTEM
  ibrav = 0, nat = 6, ntyp = 3
/
ATOMIC_SPECIES
Zr 91.22 Zr.upf
Br 79.90 Br.upf
O 16.00 O.upf
CELL_PARAMETERS angstrom
-6.937 -4.088 6.645
-6.940 -6.718 3.962
-4.321 -6.784 6.656
ATOMIC_POSITIONS angstrom
Zr -15.905 -15.375 15.089
Zr -2.292 -2.215 2.174
Br -10.967 -10.601 10.405
Br -7.230 -6.988 6.859
O -14.606 -14.118 13.857
O -3.591 -3.471 3.407
```

---

VASP calculation (PBE-GGA) on a geometry-optimized Hg4Os3 structure. Values from VASP.

Formation energy from the elements, eV/atom: 0.663
Distance to the lowest polymorph of the same formula, eV/atom: 0.000
Space-group type: No. 139
Spin magnetization, μB per cell: 1.20

The structure in Quantum ESPRESSO input format:
```
&SYSTEM
  ibrav = 0, nat = 7, ntyp = 2
/
ATOMIC_SPECIES
Hg 200.59 Hg.upf
Os 190.23 Os.upf
CELL_PARAMETERS angstrom
-1.451 1.451 15.450
1.451 -1.451 15.450
1.451 1.451 -15.450
ATOMIC_POSITIONS angstrom
Hg 0.000 0.000 13.337
Hg 0.000 0.000 4.747
Hg 0.000 0.000 26.154
Hg 0.000 0.000 17.563
Os 0.000 0.000 8.514
Os 0.000 0.000 22.387
Os 0.000 0.000 0.000
```

---

no.,D(E_F) (states/eV/f.u.),calculated density (kg/m³)
1,6.76,7300
2,7.25,8438
3,7.14,8056
4,3.04,1803
5,2.68,16705
6,1.78,4978
7,5.13,17531